Entry 1:
Below is La6Zn2Ir after structural relaxation, with properties calculated at the PBE level.

Magnetic moment = 0.00 μB per cell
Symmetry = P2_1/c (14)
Density of states at the Fermi level = 13.0 states/eV/f.u.
Energy of formation = -275.4 meV/atom

a b c (Å): 6.218 8.604 10.407
angles (deg): 90.00 86.77 90.00
Fractional positions:
La 0.899 0.978 0.244
La 0.889 0.674 0.554
La 0.904 0.672 0.945
La 0.596 0.172 0.555
La 0.611 0.174 0.946
La 0.601 0.478 0.256
La 0.101 0.022 0.756
La 0.111 0.326 0.446
La 0.096 0.328 0.055
La 0.404 0.828 0.445
La 0.389 0.826 0.054
La 0.399 0.522 0.744
Zn 0.919 0.374 0.751
Zn 0.581 0.874 0.749
Zn 0.419 0.126 0.251
Zn 0.081 0.626 0.249
Ir 0.500 0.500 0.000
Ir 0.000 0.000 0.500

Entry 2:
Below is TiH2W2 after structural relaxation, with properties calculated at the PBE level.

Magnetic moment = 0.00 μB per cell
Symmetry = I4/mmm (139)
Density of states at the Fermi level = 4.4 states/eV/f.u.
Excess energy over the best structure of this formula in the dataset = 0.2192 eV/atom

a b c (Å): 3.710 3.710 5.179
angles (deg): 69.01 69.01 90.00
Fractional positions:
H 0.360 0.360 0.280
H 0.640 0.640 0.720
W 0.750 0.250 0.500
W 0.250 0.750 0.500
Ti 0.000 0.000 0.000